Th3Ga5Co6: relaxed, GGA-PBE.

a b c (Å): 7.856 7.856 7.856
angles (deg): 148.44 111.06 77.80
Sites, in units of the cell vectors:
Th 0.000 0.000 0.000
Th 0.318 0.318 0.000
Th 0.682 0.682 0.000
Ga 0.018 0.676 0.343
Ga 0.333 0.676 0.657
Ga 0.500 0.000 0.500
Ga 0.667 0.324 0.343
Ga 0.982 0.324 0.657
Co 0.160 0.892 0.267
Co 0.294 0.500 0.794
Co 0.375 0.108 0.267
Co 0.625 0.892 0.733
Co 0.706 0.500 0.206
Co 0.840 0.108 0.733

Computed properties:
* SG: Immm (71)
* uncorrected energy: -6.16 eV per atom
* ΔH_f (0 K): -0.448 eV per atom
* M_tot: 0.06 μB/atom